#one
Here is crystalline Pm7Pr3 at its relaxed geometry from Alexandria. Energies are from GGA-PBE.

* M_tot: 0.000 μB/atom

Cell lengths 18.7395, 5.1803, 7.3337 Å; angles 90.00, 101.40, 90.00 degrees
Closest atoms and distances in Å follow each position.
Space group C2/m (No. 12)
Inequivalent atoms, fractional coordinates:
Pm: 0.0000 0.0000 0.0000 x2  8 Pm 3.66-3.67, 4 Pr 3.67
Pm: 0.1000 0.5000 0.3003 x4  8 Pm 3.66-3.67, 4 Pr 3.66-3.67
Pm: 0.0996 0.5000 0.7997 x4  5 Pr 3.66-3.69, 7 Pm 3.66-3.67
Pm: 0.2000 0.0000 0.5996 x4  5 Pr 3.66-3.67, 7 Pm 3.66-3.67
Pr: 0.0000 0.0000 0.5000 x2  12 Pm 3.66-3.67
Pr: 0.1996 0.0000 0.1003 x4  10 Pm 3.66-3.69, 2 Pr 3.68

#two
Here is crystalline Pm7Pr3 at its relaxed geometry from Alexandria. Energies are from GGA-PBE.

* M_tot: 0.000 μB/atom

Cell lengths 11.1520, 11.1520, 6.5133 Å; angles 90.00, 90.00, 120.00 degrees
Closest atoms and distances in Å follow each position.
Space group P6_3mc (No. 186)
Inequivalent atoms, fractional coordinates:
Pm: 0.0578 0.5289 0.0000 x6  3 Pm 3.14-3.44, 4 Pr 3.42-3.50
Pm: 0.1170 0.2340 0.8521 x6  4 Pr 3.51-3.82, 4 Pm 3.79-3.91
Pm: 0.3333 0.6667 0.7445 x2  3 Pm 3.14, 3 Pr 3.41
Pr: 0.2095 0.4191 0.3702 x6  9 Pm 3.41-3.82

The most stable of them is #one.

#one
Here is crystalline PmPr2 at its relaxed geometry from Alexandria. Energies are from GGA-PBE.

* M_tot: 0.000 μB/atom

Cell lengths 6.1487, 6.1605, 11.2544 Å; angles 90.00, 90.00, 90.00 degrees
Closest atoms and distances in Å follow each position.
Space group Fmmm (No. 69)
Inequivalent atoms, fractional coordinates:
Pm: 0.0000 0.0000 0.0000 x4  10 Pr 3.58-3.79
Pr: 0.0000 0.0000 0.3368 x8  5 Pm 3.58-3.79, 5 Pr 3.64-3.67

#two
Here is crystalline PmPr2 at its relaxed geometry from Alexandria. Energies are from GGA-PBE.

* M_tot: 0.000 μB/atom

Cell lengths 4.9677, 4.9677, 17.9069 Å; angles 90.00, 90.00, 90.00 degrees
Closest atoms and distances in Å follow each position.
Space group I4/mmm (No. 139)
Inequivalent atoms, fractional coordinates:
Pm: 0.0000 0.0000 0.1501 x4  9 Pr 3.51-3.66
Pr: 0.0000 0.0000 0.3459 x4  5 Pm 3.51, 4 Pr 3.71
Pr: 0.0000 0.5000 0.0000 x4  8 Pr 3.51-3.71, 4 Pm 3.66

#three
Here is crystalline PmPr2 at its relaxed geometry from Alexandria. Energies are from GGA-PBE.

* M_tot: 0.000 μB/atom

Cell lengths 3.6954, 3.6954, 15.6921 Å; angles 90.00, 90.00, 90.00 degrees
Closest atoms and distances in Å follow each position.
Space group I4/mmm (No. 139)
Inequivalent atoms, fractional coordinates:
Pm: 0.0000 0.0000 0.0000 x2  8 Pr 3.69, 4 Pm 3.70
Pr: 0.0000 0.0000 0.3343 x4  4 Pm 3.69, 8 Pr 3.70-3.72

#four
Here is crystalline PmPr2 at its relaxed geometry from Alexandria. Energies are from GGA-PBE.

* M_tot: 0.000 μB/atom

Cell lengths 9.5640, 9.5640, 9.5640 Å; angles 90.00, 90.00, 90.00 degrees
Closest atoms and distances in Å follow each position.
Space group Fd-3m (No. 227, origin choice 2)
Inequivalent atoms, fractional coordinates:
Pm: 0.1250 0.1250 0.1250 x8  12 Pr 3.97, 4 Pm 4.14
Pr: 0.0000 0.0000 0.5000 x16  6 Pr 3.38

The most stable of them is #three.